Arrangement P

Below is a relaxed PrHoCd4 crystal, with properties calculated at the PBE-GGA level.

```
PrHoCd4
1.0
3.386 -0.058 -0.653
0.078 5.039 -0.038
-1.724 0.096 9.234
Ho Cd Pr
1 4 1
Direct
0.001 0.997 0.498
0.828 0.997 0.825
0.174 0.997 0.171
0.338 0.497 0.336
0.665 0.497 0.660
0.501 0.497 0.998
```

M_tot = 0.00 μB per atom

Arrangement Q

Below is a relaxed PrHoCd4 crystal, with properties calculated at the PBE-GGA level.

```
PrHoCd4
1.0
5.964 0.000 0.000
2.982 5.165 0.000
2.982 1.722 4.869
Pr Cd Ho
1 4 1
Direct
0.250 0.250 0.250
0.625 0.125 0.625
0.625 0.625 0.125
0.125 0.625 0.625
0.625 0.625 0.625
0.000 0.000 0.000
```

M_tot = 0.00 μB per atom

Name the most stable of them. arrangement P.

Arrangement P

Below is a relaxed Pr3HoCd crystal, with properties calculated at the PBE-GGA level.

```
Pr3HoCd
1.0
3.714 0.000 -0.657
0.104 8.843 0.587
-0.154 1.678 9.953
Pr Ho Cd
6 2 2
Direct
0.598 0.966 0.197
0.402 0.034 0.803
0.005 0.713 0.010
0.995 0.287 0.990
0.187 0.624 0.375
0.813 0.376 0.625
0.794 0.834 0.588
0.206 0.166 0.412
0.606 0.414 0.213
0.394 0.586 0.787
```

M_tot = 0.00 μB per atom

Arrangement Q

Below is a relaxed Pr3HoCd crystal, with properties calculated at the PBE-GGA level.

```
Pr3HoCd
1.0
-3.569 -0.043 1.476
9.701 -4.898 3.088
2.392 8.540 6.033
Pr Ho Cd
6 2 2
Direct
0.348 0.549 0.750
0.652 0.451 0.250
0.263 0.756 0.999
0.263 0.756 0.501
0.737 0.244 0.001
0.737 0.244 0.499
0.868 0.059 0.250
0.132 0.941 0.750
0.214 0.232 0.750
0.786 0.768 0.250
```

M_tot = 0.00 μB per atom

Name the most stable of them. arrangement P.

Arrangement P

Below is a relaxed Pr2Ho2Cd crystal, with properties calculated at the PBE-GGA level.

```
Pr2Ho2Cd
1.0
-2.785 0.552 2.286
-1.000 -3.485 -0.377
8.729 -1.473 8.084
Pr Ho Cd
2 2 1
Direct
0.808 0.808 0.615
0.192 0.192 0.385
0.416 0.416 0.831
0.584 0.584 0.169
0.000 0.000 0.000
```

M_tot = 0.05 μB per atom

Arrangement Q

Below is a relaxed Pr2Ho2Cd crystal, with properties calculated at the PBE-GGA level.

```
Pr2Ho2Cd
1.0
5.260 0.000 0.000
0.000 6.851 0.000
-2.630 0.000 8.451
Pr Ho Cd
4 4 2
Direct
0.003 0.821 0.006
0.200 0.823 0.401
0.800 0.323 0.599
0.997 0.321 0.994
0.393 0.580 0.786
0.607 0.080 0.214
0.804 0.836 0.609
0.196 0.336 0.391
0.391 0.074 0.782
0.609 0.574 0.218
```

M_tot = 0.00 μB per atom

Name the most stable of them. arrangement P.

Arrangement P

Below is a relaxed Pr2HoCd2 crystal, with properties calculated at the PBE-GGA level.

```
Pr2HoCd2
1.0
6.113 0.000 0.000
0.000 8.212 0.000
-3.057 -4.106 6.163
Pr Cd Ho
4 4 2
Direct
0.710 0.060 0.420
0.210 0.360 0.420
0.290 0.940 0.580
0.790 0.640 0.580
0.444 0.776 0.888
0.944 0.112 0.888
0.556 0.224 0.112
0.056 0.888 0.112
0.250 0.500 0.000
0.750 0.500 0.000
```

M_tot = 0.03 μB per atom

Arrangement Q

Below is a relaxed Pr2HoCd2 crystal, with properties calculated at the PBE-GGA level.

```
Pr2HoCd2
1.0
-0.141 -3.209 1.992
5.281 0.455 1.108
-3.050 9.066 10.812
Cd Ho Pr
4 2 4
Direct
0.441 0.750 0.883
0.362 0.250 0.724
0.638 0.750 0.276
0.559 0.250 0.117
0.850 0.750 0.701
0.150 0.250 0.299
0.956 0.250 0.914
0.233 0.750 0.468
0.767 0.250 0.532
0.044 0.750 0.086
```

M_tot = 0.03 μB per atom

Name the most stable of them. arrangement Q.

Arrangement P

Below is a relaxed PrHo2Cd crystal, with properties calculated at the PBE-GGA level.

```
PrHo2Cd
1.0
-2.047 1.780 4.768
3.064 -0.200 4.545
1.894 4.636 2.238
Pr Cd Ho
1 1 2
Direct
0.000 0.000 0.000
0.500 0.500 0.500
0.750 0.750 0.750
0.250 0.250 0.250
```

M_tot = 0.18 μB per atom

Arrangement Q

Below is a relaxed PrHo2Cd crystal, with properties calculated at the PBE-GGA level.

```
PrHo2Cd
1.0
3.624 0.000 -1.128
-0.710 5.007 -2.282
0.082 -0.036 6.649
Ho Cd Pr
2 1 1
Direct
0.776 0.776 0.552
0.224 0.224 0.448
0.500 0.000 0.000
0.000 0.500 0.000
```

M_tot = 0.00 μB per atom

Name the most stable of them. arrangement Q.

Arrangement P

Below is a relaxed PrHo2Cd crystal, with properties calculated at the PBE-GGA level.

```
PrHo2Cd
1.0
3.656 0.000 0.000
0.000 3.656 0.000
0.000 0.000 8.931
Pr Ho Cd
1 2 1
Direct
0.500 0.500 0.500
0.000 0.000 0.217
0.000 0.000 0.783
0.500 0.500 0.000
```

M_tot = 0.00 μB per atom

Arrangement Q

Below is a relaxed PrHo2Cd crystal, with properties calculated at the PBE-GGA level.

```
PrHo2Cd
1.0
-2.623 1.090 -2.218
-1.253 -2.228 -2.541
-8.719 -4.124 5.358
Cd Pr Ho
1 1 2
Direct
0.000 0.000 0.000
0.500 0.500 0.500
0.743 0.743 0.772
0.257 0.257 0.228
```

M_tot = 0.00 μB per atom

Arrangement R

Below is a relaxed PrHo2Cd crystal, with properties calculated at the PBE-GGA level.

```
PrHo2Cd
1.0
4.895 0.000 0.000
0.000 4.891 0.000
0.000 0.000 4.891
Pr Ho Cd
1 2 1
Direct
0.500 0.500 0.500
0.000 0.000 0.500
0.000 0.500 0.000
0.500 0.000 0.000
```

M_tot = 0.00 μB per atom

Name the most stable of them. arrangement P.

Arrangement P

Below is a relaxed PrHo3Cd2 crystal, with properties calculated at the PBE-GGA level.

```
PrHo3Cd2
1.0
3.683 0.000 0.000
0.000 3.683 0.000
0.000 0.000 12.640
Ho Cd Pr
3 2 1
Direct
0.000 0.000 0.700
0.000 0.000 0.300
0.000 0.000 0.000
0.500 0.500 0.150
0.500 0.500 0.850
0.500 0.500 0.500
```

M_tot = 0.00 μB per atom

Arrangement Q

Below is a relaxed PrHo3Cd2 crystal, with properties calculated at the PBE-GGA level.

```
PrHo3Cd2
1.0
5.463 0.000 0.000
-2.732 8.934 -0.854
0.000 -4.744 7.585
Cd Pr Ho
4 2 6
Direct
0.519 0.038 0.868
0.231 0.462 0.859
0.481 0.962 0.132
0.769 0.538 0.141
0.864 0.729 0.913
0.136 0.271 0.087
0.307 0.615 0.609
0.693 0.385 0.391
0.939 0.877 0.599
0.617 0.234 0.692
0.383 0.766 0.308
0.061 0.123 0.401
```

M_tot = 0.00 μB per atom

Name the most stable of them. arrangement P.

Arrangement P

Below is a relaxed TbPrHoCd crystal, with properties calculated at the PBE-GGA level.

```
TbPrHoCd
1.0
-0.714 3.391 -1.148
-1.338 -1.338 -3.122
-8.199 -0.470 3.714
Tb Cd Ho Pr
1 1 1 1
Direct
0.500 0.500 0.791
0.000 0.000 0.568
0.500 0.500 0.352
0.000 0.000 0.073
```

M_tot = 0.00 μB per atom

Arrangement Q

Below is a relaxed TbPrHoCd crystal, with properties calculated at the PBE-GGA level.

```
TbPrHoCd
1.0
5.519 0.000 0.000
2.759 4.779 0.000
2.759 1.593 4.506
Tb Ho Cd Pr
1 1 1 1
Direct
0.500 0.500 0.500
0.250 0.250 0.250
0.750 0.750 0.750
0.000 0.000 0.000
```

M_tot = 0.00 μB per atom

Name the most stable of them. arrangement P.

Arrangement P

Below is a relaxed PrHoTmCd crystal, with properties calculated at the PBE-GGA level.

```
PrHoTmCd
1.0
-0.035 -1.664 -5.232
4.688 -1.494 -2.437
0.905 -5.279 -1.208
Pr Tm Cd Ho
1 1 1 1
Direct
0.500 0.500 0.500
0.250 0.250 0.250
0.750 0.750 0.750
0.000 0.000 0.000
```

M_tot = 0.00 μB per atom

Arrangement Q

Below is a relaxed PrHoTmCd crystal, with properties calculated at the PBE-GGA level.

```
PrHoTmCd
1.0
-0.107 -3.574 0.582
1.761 -0.560 -3.116
7.862 0.473 4.358
Tm Cd Ho Pr
1 1 1 1
Direct
0.500 0.500 0.353
0.000 0.000 0.569
0.500 0.500 0.790
0.000 0.000 0.073
```

M_tot = 0.00 μB per atom

Name the most stable of them. arrangement Q.

Arrangement P

Below is a relaxed PrHoZnCd crystal, with properties calculated at the PBE-GGA level.

```
PrHoZnCd
1.0
-2.417 -3.330 3.302
0.534 -5.209 -0.648
2.831 -2.811 3.452
Ho Pr Cd Zn
1 1 1 1
Direct
0.250 0.250 0.250
0.750 0.750 0.750
0.500 0.500 0.500
0.000 0.000 0.000
```

M_tot = 0.04 μB per atom

Arrangement Q

Below is a relaxed PrHoZnCd crystal, with properties calculated at the PBE-GGA level.

```
PrHoZnCd
1.0
-3.479 0.921 -0.599
-0.642 -3.318 -1.375
-1.885 -2.549 7.030
Pr Cd Ho Zn
1 1 1 1
Direct
0.500 0.500 0.126
0.000 0.000 0.837
0.500 0.500 0.587
0.000 0.000 0.378
```

M_tot = 0.00 μB per atom

Name the most stable of them. arrangement Q.

Arrangement P

Below is a relaxed Ho4CdPt crystal, with properties calculated at the PBE-GGA level.

```
Ho4CdPt
1.0
9.634 0.000 0.000
4.817 8.344 0.000
4.817 2.781 7.867
Ho Pt Cd
16 4 4
Direct
0.815 0.815 0.185
0.060 0.440 0.060
0.603 0.603 0.603
0.192 0.603 0.603
0.060 0.440 0.440
0.603 0.192 0.603
0.185 0.185 0.815
0.185 0.815 0.185
0.815 0.185 0.185
0.440 0.060 0.440
0.440 0.060 0.060
0.185 0.815 0.815
0.815 0.185 0.815
0.440 0.440 0.060
0.603 0.603 0.192
0.060 0.060 0.440
0.393 0.393 0.820
0.393 0.820 0.393
0.393 0.393 0.393
0.820 0.393 0.393
0.832 0.503 0.832
0.503 0.832 0.832
0.832 0.832 0.503
0.832 0.832 0.832
```

M_tot = 0.00 μB per atom

Arrangement Q

Below is a relaxed Ho4CdPt crystal, with properties calculated at the PBE-GGA level.

```
Ho4CdPt
1.0
-1.037 4.623 5.115
-1.627 -5.261 4.425
7.093 -0.806 1.650
Ho Cd Pt
8 2 2
Direct
0.675 0.659 0.643
0.377 0.857 0.175
0.175 0.841 0.643
0.123 0.357 0.825
0.825 0.159 0.357
0.877 0.643 0.175
0.623 0.143 0.825
0.325 0.341 0.357
0.000 0.000 0.000
0.500 0.500 0.000
0.000 0.500 0.500
0.500 0.000 0.500
```

M_tot = 0.00 μB per atom

Name the most stable of them. arrangement P.

Arrangement P

Below is a relaxed HoCd2Pt9 crystal, with properties calculated at the PBE-GGA level.

```
HoCd2Pt9
1.0
-2.749 -2.428 -1.759
2.198 -0.009 -3.423
6.109 -9.777 3.950
Pt Ho Cd
9 1 2
Direct
0.500 0.500 0.335
0.000 0.500 0.829
0.500 0.000 0.171
0.500 0.500 0.000
0.000 0.500 0.500
0.500 0.000 0.829
0.500 0.500 0.665
0.500 0.000 0.500
0.000 0.500 0.171
0.000 0.000 0.000
0.000 0.000 0.663
0.000 0.000 0.337
```

M_tot = 0.00 μB per atom

Arrangement Q

Below is a relaxed HoCd2Pt9 crystal, with properties calculated at the PBE-GGA level.

```
HoCd2Pt9
1.0
-0.435 1.636 5.087
-4.683 1.865 1.825
-3.998 -6.948 4.717
Pt Cd Ho
9 2 1
Direct
0.500 0.500 0.500
0.334 0.334 0.999
0.587 0.587 0.745
0.413 0.413 0.255
0.413 0.919 0.255
0.666 0.666 0.001
0.587 0.081 0.745
0.081 0.587 0.745
0.919 0.413 0.255
0.144 0.144 0.567
0.856 0.856 0.433
0.000 0.000 0.000
```

M_tot = 0.00 μB per atom

Name the most stable of them. arrangement P.